Here is crystalline Ba4SiTe at its relaxed geometry from the Alexandria database. Energies are from PBE.

Values from the calculation:
The calculation puts the volume at 40.77 A^3/atom. For the formation energy (no corrections), the calculation gives 0.198 eV/atom.

a = 9.928 Å, b = 9.928 Å, c = 9.928 Å
α = 90.00°, β = 90.00°, γ = 90.00°
Space group F-43m (No. 216)
Symmetry-distinct sites (fractional):
Ba  0.125  0.125  0.125 (multiplicity 16)
Si  0.250  0.250  0.750 (multiplicity 4)
Te  0.000  0.000  0.500 (multiplicity 4)